1.
A plane-wave DFT calculation with GGA-PBE was carried out for a geometry-optimized HoPuZnAu structure.

## Properties
As for the space-group type: F-43m. As for the formation energy: -0.369 eV per atom. The total moment is 5.72 Bohr magnetons per cell. The value obtained for the total energy is -6.23 eV/atom.

a = 5.0920 Å, b = 5.0920 Å, c = 5.0920 Å
α = 60.00°, β = 60.00°, γ = 60.00°
Site moments in Bohr magnetons follow the coordinates.
Sites, in units of the cell vectors:
Pu: 0.2500 0.2500 0.2500  5.34
Au: 0.5000 0.5000 0.5000  0.02
Ho: 0.7500 0.7500 0.7500  0.10
Zn: 0.0000 0.0000 0.0000  0.02

2.
A plane-wave DFT calculation with GGA-PBE was carried out for a geometry-optimized RbHoAu2 structure.

## Properties
As for the space-group type: P4/mmm. As for the formation energy: -0.560 eV per atom. The total moment is 0.00 Bohr magnetons per cell. The value obtained for the total energy is -3.59 eV/atom.

a = 3.7128 Å, b = 3.7128 Å, c = 8.3731 Å
α = 90.00°, β = 90.00°, γ = 90.00°
Sites, in units of the cell vectors:
Au: 0.0000 0.0000 0.1782
Au: 0.0000 0.0000 0.8218
Ho: 0.5000 0.5000 0.0000
Rb: 0.5000 0.5000 0.5000

3.
A plane-wave DFT calculation with GGA-PBE was carried out for a geometry-optimized RbHoAu structure.

## Properties
As for the space-group type: Amm2. As for the formation energy: -0.098 eV per atom. The total moment is 1.24 Bohr magnetons per cell. The value obtained for the total energy is -3.04 eV/atom.

a = 4.0492 Å, b = 4.0375 Å, c = 16.0306 Å
α = 90.00°, β = 90.00°, γ = 120.10°
Site moments in Bohr magnetons follow the coordinates.
Sites, in units of the cell vectors:
Ho: 0.6152 0.2304 0.6109  0.23
Ho: 0.6152 0.2304 0.3891  0.23
Rb: 0.2734 0.5468 0.8483  0.02
Rb: 0.2734 0.5468 0.1517  0.02
Au: 0.2815 0.5629 0.5000  0.02
Au: 0.6079 0.2158 0.0000  0.01

4.
A plane-wave DFT calculation with GGA-PBE was carried out for a geometry-optimized RbHoAuSe2 structure.

## Properties
As for the space-group type: P2/c. The total moment is 0.00 Bohr magnetons per cell. The value obtained for the total energy is -4.25 eV/atom. As for the formation energy without anion corrections: -1.0913 eV per atom.

a = 4.9638 Å, b = 8.0077 Å, c = 7.9581 Å
α = 97.67°, β = 90.00°, γ = 90.00°
Sites, in units of the cell vectors:
Se: 0.6291 0.2392 0.5308
Se: 0.3709 0.7608 0.4692
Se: 0.6291 0.7608 0.9692
Se: 0.3709 0.2392 0.0308
Au: 0.0000 0.0000 0.0000
Au: 0.0000 0.0000 0.5000
Ho: 0.4949 0.0000 0.2500
Ho: 0.5051 0.0000 0.7500
Rb: 0.8798 0.5000 0.2500
Rb: 0.1202 0.5000 0.7500

5.
A plane-wave DFT calculation with GGA-PBE was carried out for a geometry-optimized RbHo2AuSe4 structure.

## Properties
As for the space-group type: Cmcm. The total moment is 0.00 Bohr magnetons per cell. The value obtained for the total energy is -4.83 eV/atom. As for the formation energy without anion corrections: -1.4162 eV per atom.

a = 4.1841 Å, b = 7.4919 Å, c = 14.7361 Å
α = 90.00°, β = 90.00°, γ = 106.21°
Sites, in units of the cell vectors:
Se: 0.2595 0.5191 0.1002
Se: 0.5514 0.1029 0.2500
Se: 0.0000 0.0000 0.0000
Se: 0.2595 0.5191 0.3998
Se: 0.4486 0.8971 0.7500
Se: 0.7405 0.4809 0.8998
Se: 0.7405 0.4809 0.6002
Se: 0.0000 0.0000 0.5000
Ho: 0.6293 0.2585 0.0698
Ho: 0.3707 0.7415 0.9302
Ho: 0.6293 0.2585 0.4302
Ho: 0.3707 0.7415 0.5698
Rb: 0.8755 0.7511 0.2500
Rb: 0.1245 0.2489 0.7500
Au: 0.8409 0.6817 0.7500
Au: 0.1591 0.3183 0.2500

6.
A plane-wave DFT calculation with GGA-PBE was carried out for a geometry-optimized RbHoTe2Au structure.

## Properties
As for the space-group type: P2/c. The total moment is 0.00 Bohr magnetons per cell. The value obtained for the total energy is -3.88 eV/atom. As for the formation energy without anion corrections: -0.8616 eV per atom.

a = 4.8025 Å, b = 8.7522 Å, c = 8.5216 Å
α = 95.00°, β = 90.00°, γ = 90.00°
Sites, in units of the cell vectors:
Au: 0.0000 0.0000 0.0000
Au: 0.0000 0.0000 0.5000
Ho: 0.5029 0.0000 0.7500
Ho: 0.4971 0.0000 0.2500
Rb: 0.0962 0.5000 0.7500
Rb: 0.9038 0.5000 0.2500
Te: 0.6246 0.7590 0.9795
Te: 0.6246 0.2410 0.5205
Te: 0.3754 0.7590 0.4795
Te: 0.3754 0.2410 0.0205

7.
A plane-wave DFT calculation with GGA-PBE was carried out for a geometry-optimized Ho8RhAu2 structure.

## Properties
As for the space-group type: Cm. For the distance to the lowest polymorph of the same formula, the calculation gives 119 meV per atom. As for the formation energy: -0.379 eV per atom. The total moment is 0.00 Bohr magnetons per cell. The value obtained for the total energy is -4.97 eV/atom.

a = 5.8655 Å, b = 8.1066 Å, c = 8.1066 Å
α = 119.84°, β = 102.49°, γ = 102.49°
Sites, in units of the cell vectors:
Rh: 0.1440 0.0027 0.0027
Ho: 0.6083 0.3491 0.1112
Ho: 0.9847 0.8040 0.1904
Ho: 0.3444 0.8928 0.6518
Ho: 0.3444 0.6518 0.8928
Ho: 0.7847 0.6461 0.6461
Ho: 0.9847 0.1904 0.8040
Ho: 0.6083 0.1112 0.3491
Ho: 0.1888 0.3592 0.3592
Au: 0.5036 0.7185 0.3083
Au: 0.5036 0.3083 0.7185

8.
A plane-wave DFT calculation with GGA-PBE was carried out for a geometry-optimized Ho8RhAu2 structure.

## Properties
As for the space-group type: C2/m. For the distance to the lowest polymorph of the same formula, the calculation gives 0 meV per atom. As for the formation energy: -0.497 eV per atom. The total moment is 0.00 Bohr magnetons per cell. The value obtained for the total energy is -5.09 eV/atom.

a = 5.0956 Å, b = 6.7449 Å, c = 9.0542 Å
α = 104.50°, β = 106.34°, γ = 90.00°
Sites, in units of the cell vectors:
Ho: 0.2026 0.3163 0.4053
Ho: 0.5890 0.4391 0.1780
Ho: 0.3400 0.0305 0.6800
Ho: 0.7974 0.6837 0.5947
Ho: 0.6600 0.9695 0.3200
Ho: 0.9707 0.2143 0.9414
Ho: 0.4110 0.5609 0.8220
Ho: 0.0293 0.7857 0.0586
Rh: 0.5000 0.0000 0.0000
Au: 0.1881 0.7275 0.3762
Au: 0.8119 0.2725 0.6238

9.
A plane-wave DFT calculation with GGA-PBE was carried out for a geometry-optimized Ho4RhAu structure.

## Properties
As for the space-group type: Pnma. For the distance to the lowest polymorph of the same formula, the calculation gives 0 meV per atom. As for the formation energy: -0.608 eV per atom. The total moment is 0.00 Bohr magnetons per cell. The value obtained for the total energy is -5.43 eV/atom.

a = 4.7778 Å, b = 8.2269 Å, c = 15.5586 Å
α = 90.00°, β = 90.00°, γ = 90.00°
Sites, in units of the cell vectors:
Rh: 0.7500 0.1941 0.6855
Rh: 0.2500 0.8059 0.3145
Rh: 0.2500 0.3059 0.1855
Rh: 0.7500 0.6941 0.8145
Ho: 0.2500 0.1509 0.5655
Ho: 0.2500 0.0325 0.0784
Ho: 0.7500 0.9675 0.9216
Ho: 0.7500 0.3491 0.0655
Ho: 0.7500 0.3700 0.8368
Ho: 0.2500 0.0843 0.7773
Ho: 0.7500 0.4675 0.5784
Ho: 0.2500 0.5325 0.4216
Ho: 0.7500 0.9157 0.2227
Ho: 0.2500 0.1300 0.3368
Ho: 0.7500 0.8700 0.6632
Ho: 0.2500 0.6300 0.1632
Ho: 0.7500 0.8491 0.4345
Ho: 0.7500 0.4157 0.2773
Ho: 0.2500 0.5843 0.7227
Ho: 0.2500 0.6509 0.9345
Au: 0.2500 0.2692 0.9398
Au: 0.2500 0.7692 0.5602
Au: 0.7500 0.7308 0.0602
Au: 0.7500 0.2308 0.4398

10.
A plane-wave DFT calculation with GGA-PBE was carried out for a geometry-optimized HoRhAu structure.

## Properties
As for the space-group type: Cmcm. For the distance to the lowest polymorph of the same formula, the calculation gives 0 meV per atom. As for the formation energy: -0.702 eV per atom. The total moment is 0.00 Bohr magnetons per cell. The value obtained for the total energy is -5.77 eV/atom.

a = 4.8914 Å, b = 5.6503 Å, c = 4.8233 Å
α = 90.00°, β = 120.47°, γ = 90.00°
Sites, in units of the cell vectors:
Rh: 0.6731 0.2500 0.8461
Rh: 0.3269 0.7500 0.1539
Au: 0.0000 0.0000 0.5000
Au: 0.0000 0.5000 0.5000
Ho: 0.6642 0.7500 0.8285
Ho: 0.3358 0.2500 0.1715

11.
A plane-wave DFT calculation with GGA-PBE was carried out for a geometry-optimized Ho3Rh2Au3 structure.

## Properties
As for the space-group type: P-62m. As for the formation energy: -0.866 eV per atom. The total moment is 0.00 Bohr magnetons per cell. The value obtained for the total energy is -5.65 eV/atom.

a = 3.6423 Å, b = 7.2526 Å, c = 7.2526 Å
α = 120.00°, β = 90.00°, γ = 90.00°
Sites, in units of the cell vectors:
Au: 0.0000 0.2307 0.0000
Au: 0.0000 0.7693 0.7693
Au: 0.0000 0.0000 0.2307
Rh: 0.0000 0.3333 0.6667
Rh: 0.0000 0.6667 0.3333
Ho: 0.5000 0.5946 0.0000
Ho: 0.5000 0.4054 0.4054
Ho: 0.5000 0.0000 0.5946

12.
A plane-wave DFT calculation with GGA-PBE was carried out for a geometry-optimized HoRh4Au structure.

## Properties
As for the space-group type: F-43m. As for the formation energy: -0.338 eV per atom. The total moment is 0.25 Bohr magnetons per cell. The value obtained for the total energy is -6.55 eV/atom.

a = 5.2423 Å, b = 5.2423 Å, c = 5.2423 Å
α = 60.00°, β = 60.00°, γ = 60.00°
Site moments in Bohr magnetons follow the coordinates.
Sites, in units of the cell vectors:
Ho: 0.2500 0.2500 0.2500  -0.01
Rh: 0.6254 0.6254 0.6254  0.07
Rh: 0.6254 0.1239 0.6254  0.07
Rh: 0.1239 0.6254 0.6254  0.07
Rh: 0.6254 0.6254 0.1239  0.07
Au: 0.0000 0.0000 0.0000  0.00

13.
A plane-wave DFT calculation with GGA-PBE was carried out for a geometry-optimized Ho7Rh2Au2 structure.

## Properties
As for the space-group type: Cmmm. For the distance to the lowest polymorph of the same formula, the calculation gives 143 meV per atom. As for the formation energy: -0.534 eV per atom. The total moment is 0.00 Bohr magnetons per cell. The value obtained for the total energy is -5.38 eV/atom.

a = 6.6243 Å, b = 7.0092 Å, c = 6.6243 Å
α = 90.00°, β = 107.37°, γ = 90.00°
Sites, in units of the cell vectors:
Ho: 0.5000 0.7477 0.5000
Ho: 0.5000 0.7415 0.0000
Ho: 0.0000 0.0000 0.0000
Ho: 0.0000 0.2585 0.5000
Ho: 0.5000 0.2585 0.0000
Ho: 0.0000 0.7415 0.5000
Ho: 0.5000 0.2523 0.5000
Au: 0.8069 0.5000 0.8069
Au: 0.1931 0.5000 0.1931
Rh: 0.2885 0.0000 0.7115
Rh: 0.7115 0.0000 0.2885

14.
A plane-wave DFT calculation with GGA-PBE was carried out for a geometry-optimized Ho8Rh2Au structure.

## Properties
As for the space-group type: Cm. As for the formation energy: -0.428 eV per atom. The total moment is 0.00 Bohr magnetons per cell. The value obtained for the total energy is -5.39 eV/atom.

a = 5.7319 Å, b = 7.6667 Å, c = 7.6667 Å
α = 113.57°, β = 99.24°, γ = 99.24°
Sites, in units of the cell vectors:
Ho: 0.3950 0.9260 0.6672
Ho: 0.5785 0.0823 0.3410
Ho: 0.8045 0.6290 0.6290
Ho: 0.1745 0.3747 0.3747
Ho: 0.9913 0.2317 0.7743
Ho: 0.9913 0.7743 0.2317
Ho: 0.5785 0.3410 0.0823
Ho: 0.3950 0.6672 0.9260
Rh: 0.4894 0.3091 0.6978
Rh: 0.4894 0.6978 0.3091
Au: 0.1120 0.0009 0.0009

15.
A plane-wave DFT calculation with GGA-PBE was carried out for a geometry-optimized Ho5RhAu4 structure.

## Properties
As for the space-group type: P4/mmm. As for the formation energy: -0.875 eV per atom. The total moment is 0.00 Bohr magnetons per cell. The value obtained for the total energy is -5.21 eV/atom.

a = 3.5414 Å, b = 3.5414 Å, c = 17.8228 Å
α = 90.00°, β = 90.00°, γ = 90.00°
Sites, in units of the cell vectors:
Rh: 0.0000 0.0000 0.0000
Ho: 0.5000 0.5000 0.9079
Ho: 0.5000 0.5000 0.2953
Ho: 0.5000 0.5000 0.0921
Ho: 0.5000 0.5000 0.5000
Ho: 0.5000 0.5000 0.7047
Au: 0.0000 0.0000 0.1942
Au: 0.0000 0.0000 0.8058
Au: 0.0000 0.0000 0.3989
Au: 0.0000 0.0000 0.6011

16.
A plane-wave DFT calculation with GGA-PBE was carried out for a geometry-optimized HoRh2Au structure.

## Properties
As for the space-group type: P4/mmm. As for the formation energy: -0.607 eV per atom. The total moment is 0.00 Bohr magnetons per cell. The value obtained for the total energy is -6.25 eV/atom.

a = 3.9427 Å, b = 4.1922 Å, c = 4.1922 Å
α = 90.00°, β = 90.00°, γ = 90.00°
Sites, in units of the cell vectors:
Rh: 0.0000 0.5000 0.0000
Rh: 0.0000 0.0000 0.5000
Ho: 0.5000 0.0000 0.0000
Au: 0.5000 0.5000 0.5000

17.
A plane-wave DFT calculation with GGA-PBE was carried out for a geometry-optimized Ho5Rh2Au2 structure.

## Properties
As for the space-group type: Cmce. As for the formation energy: -0.822 eV per atom. The total moment is 0.00 Bohr magnetons per cell. The value obtained for the total energy is -5.73 eV/atom.

a = 7.5357 Å, b = 7.3999 Å, c = 8.4647 Å
α = 115.92°, β = 90.00°, γ = 90.00°
Sites, in units of the cell vectors:
Ho: 0.8300 0.5402 0.7400
Ho: 0.3300 0.6998 0.7400
Ho: 0.6700 0.0402 0.7400
Ho: 0.0000 0.0000 0.0000
Ho: 0.5000 0.5000 0.0000
Ho: 0.3300 0.9598 0.2600
Ho: 0.8300 0.8002 0.2600
Ho: 0.1700 0.1998 0.7400
Ho: 0.1700 0.4598 0.2600
Ho: 0.6700 0.3002 0.2600
Au: 0.5000 0.7073 0.4146
Au: 0.0000 0.7927 0.5854
Au: 0.0000 0.2073 0.4146
Au: 0.5000 0.2927 0.5854
Rh: 0.6337 0.8670 0.0000
Rh: 0.1337 0.6330 0.0000
Rh: 0.3663 0.1330 0.0000
Rh: 0.8663 0.3670 0.0000

18.
A plane-wave DFT calculation with GGA-PBE was carried out for a geometry-optimized Ho3RhAu structure.

## Properties
As for the space-group type: Pmmn. As for the formation energy: -0.696 eV per atom. The total moment is 0.00 Bohr magnetons per cell. The value obtained for the total energy is -5.57 eV/atom.

a = 4.2005 Å, b = 6.9677 Å, c = 8.6853 Å
α = 90.00°, β = 90.00°, γ = 90.00°
Sites, in units of the cell vectors:
Au: 0.2500 0.7500 0.8326
Au: 0.7500 0.2500 0.1674
Ho: 0.2500 0.2500 0.9380
Ho: 0.7500 0.7500 0.0620
Ho: 0.7500 0.9945 0.6640
Ho: 0.2500 0.0055 0.3360
Ho: 0.2500 0.4945 0.3360
Ho: 0.7500 0.5055 0.6640
Rh: 0.2500 0.2500 0.6061
Rh: 0.7500 0.7500 0.3939

19.
A plane-wave DFT calculation with GGA-PBE was carried out for a geometry-optimized Ho4Rh2Au structure.

## Properties
As for the space-group type: R-3m. For the distance to the lowest polymorph of the same formula, the calculation gives 15 meV per atom. As for the formation energy: -0.751 eV per atom. The total moment is 0.00 Bohr magnetons per cell. The value obtained for the total energy is -5.94 eV/atom.

a = 4.8731 Å, b = 4.8731 Å, c = 8.4064 Å
α = 73.15°, β = 73.15°, γ = 60.00°
Sites, in units of the cell vectors:
Ho: 0.3789 0.3789 0.8633
Ho: 0.8721 0.8721 0.3837
Ho: 0.6211 0.6211 0.1367
Ho: 0.1279 0.1279 0.6163
Au: 0.0000 0.0000 0.0000
Rh: 0.7499 0.7499 0.7502
Rh: 0.2501 0.2501 0.2498

20.
A plane-wave DFT calculation with GGA-PBE was carried out for a geometry-optimized HoRhAu structure.

## Properties
As for the space-group type: I4mm. For the distance to the lowest polymorph of the same formula, the calculation gives 50 meV per atom. As for the formation energy: -0.652 eV per atom. The total moment is 0.00 Bohr magnetons per cell. The value obtained for the total energy is -5.72 eV/atom.

a = 3.5494 Å, b = 3.5494 Å, c = 5.2669 Å
α = 109.69°, β = 109.69°, γ = 90.00°
Sites, in units of the cell vectors:
Au: 0.6197 0.6197 0.2393
Rh: 0.2872 0.2872 0.5743
Ho: 0.9432 0.9432 0.8863